Entry from Alexandria via LeMat-Bulk: CeFe2F8 after structural relaxation (PBE+U).

a = 5.243 Å, b = 5.617 Å, c = 5.617 Å
α = 68.51°, β = 99.70°, γ = 99.70°
Atoms (fractional coordinates):
1 F 0.741 0.551 0.551
2 F 0.279 0.859 0.859
3 Ce 0.000 0.000 0.000
4 F 0.259 0.449 0.449
5 Fe 0.460 0.670 0.670
6 Fe 0.540 0.330 0.330
7 F 0.726 0.041 0.633
8 F 0.726 0.633 0.041
9 F 0.274 0.959 0.367
10 F 0.721 0.141 0.141
11 F 0.274 0.367 0.959

Calculated values
total moment	0.7870	μB per atom
raw total energy	-64.5	eV/cell
crystal system	monoclinic